Entry 1:
Below is crystalline CoTeH at its relaxed geometry, with properties calculated at the GGA-PBE level.

Calculated values
Excess energy over the best structure of this formula in the dataset ... 0 meV/atom
Calculated total energy ... -4.497 eV per atom

a b c (Å): 7.1093 4.1113 6.1912
angles (deg): 106.39 90.00 90.00
Element x y z (fractional)
H1 0.4359 0.8019 0.5048
H2 0.5641 0.1981 0.4952
H3 0.0641 0.8019 0.0048
H4 0.9359 0.1981 0.9952
Te1 0.3668 0.2940 0.1351
Te2 0.6332 0.7060 0.8649
Te3 0.8668 0.7060 0.3649
Te4 0.1332 0.2940 0.6351
Co1 0.9614 0.8598 0.7843
Co2 0.5386 0.8598 0.2843
Co3 0.0386 0.1402 0.2157
Co4 0.4614 0.1402 0.7157

=====

Entry 2:
Below is crystalline MnCd2Pb at its relaxed geometry, with properties calculated at the GGA-PBE level.

Calculated values
Formation enthalpy at 0 K ... 1.19 eV/f.u.
Calculated total energy ... -3.380 eV per atom

a b c (Å): 5.5563 5.5563 5.5563
angles (deg): 133.03 133.03 68.61
Site moments in Bohr magnetons follow the coordinates.
Element x y z (fractional)
Cd1 0.0000 0.0000 0.0000  -0.04
Cd2 0.2500 0.7500 0.5000  -0.03
Mn1 0.5000 0.5000 0.0000  3.90
Pb1 0.7500 0.2500 0.5000  -0.04

=====

Entry 3:
Below is crystalline SrAg2Se at its relaxed geometry, with properties calculated at the GGA-PBE level.

Calculated values
Raw formation energy ... -0.612 eV per atom
Calculated total energy ... -3.329 eV per atom

a b c (Å): 3.9775 4.0158 6.6697
angles (deg): 72.44 90.00 90.00
Element x y z (fractional)
Ag1 0.0000 0.0232 0.0786
Ag2 0.5000 0.4614 0.2024
Se1 0.0000 0.2995 0.5261
Sr1 0.5000 0.7159 0.6929

=====

Entry 4:
Below is crystalline HoInAu6 at its relaxed geometry, with properties calculated at the GGA-PBE level.

Calculated values
Formation enthalpy at 0 K ... -3.28 eV/f.u.
Calculated total energy ... -3.782 eV per atom

a b c (Å): 4.3896 5.2183 7.8953
angles (deg): 76.14 73.86 65.13
Element x y z (fractional)
Ho1 0.0000 0.5000 0.5000
In1 0.0000 0.0000 0.0000
Au1 0.2560 0.8602 0.6277
Au2 0.5087 0.2335 0.7490
Au3 0.2440 0.3893 0.1227
Au4 0.4913 0.7665 0.2510
Au5 0.7440 0.1398 0.3723
Au6 0.7560 0.6107 0.8773

=====

Entry 5:
Below is crystalline MgAlAg at its relaxed geometry, with properties calculated at the GGA-PBE level.

Calculated values
Formation enthalpy at 0 K ... -0.05 eV/f.u.
Calculated total energy ... -2.746 eV per atom

a b c (Å): 4.4575 4.4575 4.4575
angles (deg): 60.00 60.00 60.00
Element x y z (fractional)
Ag1 0.7500 0.7500 0.7500
Al1 0.0000 0.0000 0.0000
Mg1 0.5000 0.5000 0.5000

=====

> Which of these has the lowest calculated total energy?

CoTeH

=====

> Number 1 is which compound?

CoTeH

=====

> Which value of calculated total energy does entry 1 give?

-4.497 eV per atom

=====

> Which of these has the lowest calculated total energy?

CoTeH